In2HgTe (PBE, optimized geometry); electronic total energy = -0.0853 hartree per atom; N(E_F) = 0.4072 states/eV/atom; uncorrected formation energy = -0.09 eV per atom; offset from the most stable computed form = 69 meV per atom; crystal system = tetragonal
1.0
3.869 0.000 0.000
0.000 3.869 0.000
0.000 0.000 7.801
Hg Te In
1 1 2
direct
0.500 0.500 0.750
0.500 0.500 0.250
0.000 0.000 0.010
0.000 0.000 0.490